# 1
## NaDyZnTe3 (PBE)

Data for crystalline NaDyZnTe3 at its relaxed geometry.

Results
ΔE to the lowest computed polymorph: 0.0007 eV per atom

Geometry as CIF:
```
data_NaDyZnTe3
_space_group_name_H-M_alt 'P n m a'
_space_group_IT_number 62
_cell_length_a 11.6164
_cell_length_b 4.3101
_cell_length_c 14.7259
_cell_angle_alpha 90.00
_cell_angle_beta 90.00
_cell_angle_gamma 90.00
loop_
_space_group_symop_operation_xyz
'x,y,z'
'-x,-y,-z'
'-x+1/2,-y,z+1/2'
'x+1/2,y,-z+1/2'
'x+1/2,-y+1/2,-z+1/2'
'-x+1/2,y+1/2,z+1/2'
'-x,y+1/2,-z'
'x,-y+1/2,z'
loop_
_atom_site_label
_atom_site_type_symbol
_atom_site_fract_x
_atom_site_fract_y
_atom_site_fract_z
_atom_site_occupancy
Na1 Na 0.2282 0.2500 0.0128 1
Dy1 Dy 0.0130 0.7500 0.7455 1
Zn1 Zn 0.2395 0.7500 0.2193 1
Te1 Te 0.0527 0.7500 0.1144 1
Te2 Te 0.0812 0.2500 0.6072 1
Te3 Te 0.2390 0.2500 0.3334 1
```


# 2
## Tc (PBE)

Data for crystalline Tc at its relaxed geometry.

Results
ΔE to the lowest computed polymorph: 0.0685 eV per atom
ΔH_f (0 K): 0.068 eV per atom

Geometry as CIF:
```
data_Tc
_space_group_name_H-M_alt 'P 41 3 2'
_space_group_IT_number 213
_space_group_name_Hall 'P 4bd 2ab 3'
_cell_length_a 6.6627
_cell_length_b 6.6627
_cell_length_c 6.6627
_cell_angle_alpha 90.00
_cell_angle_beta 90.00
_cell_angle_gamma 90.00
loop_
_atom_site_label
_atom_site_type_symbol
_atom_site_fract_x
_atom_site_fract_y
_atom_site_fract_z
_atom_site_occupancy
Tc1 Tc 0.0506 0.0506 0.0506 1
Tc2 Tc 0.0531 0.8750 0.6969 1
```


# 3
## Sr2Sm2SbAsO (PBE)

Data for crystalline Sr2Sm2SbAsO at its relaxed geometry.

Results
Raw total energy: -5.344 eV per atom

Geometry as CIF:
```
data_Sr2Sm2SbAsO
_space_group_name_H-M_alt 'I 4 m m'
_space_group_IT_number 107
_space_group_name_Hall 'I 4 -2'
_cell_length_a 4.6889
_cell_length_b 4.6889
_cell_length_c 17.3878
_cell_angle_alpha 90.00
_cell_angle_beta 90.00
_cell_angle_gamma 90.00
loop_
_atom_site_label
_atom_site_type_symbol
_atom_site_fract_x
_atom_site_fract_y
_atom_site_fract_z
_atom_site_occupancy
Sr1 Sr 0.0000 0.0000 0.0000 1
Sr2 Sr 0.0000 0.0000 0.3545 1
Sm1 Sm 0.0000 0.5000 0.1885 1
Sb1 Sb 0.0000 0.0000 0.5542 1
As1 As 0.0000 0.0000 0.8146 1
O1 O 0.0000 0.0000 0.2032 1
```